[1]
Computed, not measured: an optimized crystal structure of Zn2HgW at the GGA-PBE level of DFT.

Results
As for the space-group type: R3m. Its density is 12.54 g cm⁻³. The calculation puts the density of states at the Fermi level at 3.79 states/eV/cell. The calculation puts the total energy at -0.258 Ry/atom.

a b c (Å): 9.5047 9.5047 9.5047
angles (deg): 17.56 17.56 17.56
Last column: nearest neighbours and their distance in Å.
Fractional coordinates of all 4 atoms:
Zn (0.0000, 0.0000, 0.0000)  9 Zn 2.71-2.90, 3 W 2.76
Zn (0.2574, 0.2574, 0.2574)  9 Zn 2.71-2.90
Hg (0.5002, 0.5002, 0.5002)  6 Hg 2.90, 3 W 3.01, 3 Zn 3.04
W (0.7446, 0.7446, 0.7446)  3 Zn 2.76, 6 W 2.90, 3 Hg 3.01


[2]
Computed, not measured: an optimized crystal structure of TcAg2Ir at the GGA-PBE level of DFT.

Results
Its polymorph energy (0 for the lowest one) is 0.0113 eV per atom. As for the space-group type: R3m. Its density is 13.02 g cm⁻³. The calculation puts the density of states at the Fermi level at 3.96 states/eV/cell. The calculation puts the total energy at -0.445 Ry/atom.

a b c (Å): 9.5620 9.5620 9.5620
angles (deg): 16.91 16.91 16.91
Last column: nearest neighbours and their distance in Å.
Fractional coordinates of all 4 atoms:
Tc (0.0000, 0.0000, 0.0000)  3 Ir 2.60, 6 Tc 2.81
Ag (0.2463, 0.2463, 0.2463)  9 Ag 2.81-2.96, 3 Tc 2.95
Ag (0.4921, 0.4921, 0.4921)  9 Ag 2.81-2.96, 3 Ir 2.95
Ir (0.7383, 0.7383, 0.7383)  3 Tc 2.60, 6 Ir 2.81


[3]
Computed, not measured: an optimized crystal structure of Cs2NaReS at the GGA-PBE level of DFT.

Results
As for the uncorrected formation energy: 4.57 eV/f.u. As for the space-group type: P4/mmm. Its density is 3.72 g cm⁻³. The calculation puts the density of states at the Fermi level at 6.59 states/eV/cell. The calculation puts the total energy at -0.221 Ry/atom.

a b c (Å): 6.8541 6.8541 4.8174
angles (deg): 90.00 90.00 90.00
Last column: nearest neighbours and their distance in Å.
Fractional coordinates of all 5 atoms:
Cs (0.0000, 0.5000, 0.0000)  2 Na 3.43
Cs (0.5000, 0.0000, 0.0000)  2 Na 3.43
Na (0.0000, 0.0000, 0.0000)  2 S 2.41
Re (0.5000, 0.5000, 0.5000)  8 Cs 4.19
S (0.0000, 0.0000, 0.5000)  2 Na 2.41